(1)
Entry from the Alexandria database: a geometry-optimized AlOs2W structure (PBE).

For the energy, the calculation gives -40.13 eV per cell. Its magnetic moment is 0.0 Bohr magnetons per cell. The value obtained for the formation energy from the elements is -0.242 eV/atom. The calculation puts the density of states at the Fermi level at 1.9 states/eV/cell.

a = 3.0182 Å, b = 3.0182 Å, c = 6.3496 Å
α = 90.00°, β = 90.00°, γ = 90.00°
Space group P4/mmm (No. 123)
One atom of each set of equivalent atoms:
Al  0.0000  0.0000  0.0000 x1
Os  0.5000  0.5000  0.2388 x2
W  0.0000  0.0000  0.5000 x1

=====

(2)
Entry from the Alexandria database: a geometry-optimized ZnCrPd14 structure (PBE).

For the energy, the calculation gives -85.17 eV per cell. Its magnetic moment is 1.8 Bohr magnetons per cell. The value obtained for the formation energy from the elements is -0.099 eV/atom. The calculation puts the density of states at the Fermi level at 29.1 states/eV/cell.

a = 5.5738 Å, b = 5.5738 Å, c = 7.8079 Å
α = 90.00°, β = 90.00°, γ = 90.00°
Space group P4/mmm (No. 123)
One atom of each set of equivalent atoms:
Zn  0.0000  0.0000  0.0000 x1
Cr  0.5000  0.5000  0.0000 x1
Pd  0.0000  0.0000  0.5000 x1
Pd  0.0000  0.5000  0.0000 x2
Pd  0.0000  0.5000  0.5000 x2
Pd  0.2508  0.2508  0.2439 x8
Pd  0.5000  0.5000  0.5000 x1

=====

(3)
Entry from the Alexandria database: a geometry-optimized Ti2BePtN structure (PBE).

For the energy, the calculation gives -38.86 eV per cell. Its magnetic moment is 0.0 Bohr magnetons per cell. As for the formation energy (no corrections): -996 meV/atom. The calculation puts the density of states at the Fermi level at 3.0 states/eV/cell.

a = 4.2043 Å, b = 4.2043 Å, c = 3.4455 Å
α = 90.00°, β = 90.00°, γ = 90.00°
Space group P4/mmm (No. 123)
One atom of each set of equivalent atoms:
Ti  0.0000  0.5000  0.0000 x2
Be  0.0000  0.0000  0.5000 x1
Pt  0.5000  0.5000  0.5000 x1
N  0.0000  0.0000  0.0000 x1

=====

(4)
Entry from the Alexandria database: a geometry-optimized La2DyTl structure (PBE).

The energy relative to the lowest polymorph listed for this composition is 117 meV per atom. For the energy, the calculation gives -34.39 eV per cell. Its magnetic moment is 0.4 Bohr magnetons per cell. The value obtained for the formation energy from the elements is -0.093 eV/atom. The calculation puts the density of states at the Fermi level at 12.8 states/eV/cell.

a = 6.4611 Å, b = 3.7258 Å, c = 11.4560 Å
α = 90.00°, β = 100.91°, γ = 90.00°
Space group Cm (No. 8)
One atom of each set of equivalent atoms:
La  0.0000  0.0000  0.0000 x2
La  0.1723  0.0000  0.5169 x2
Dy  0.2533  0.5000  0.2577 x2
Tl  0.0866  0.5000  0.7585 x2

=====

(5)
Entry from the Alexandria database: a geometry-optimized Ca2AgBr structure (PBE).

The energy relative to the lowest polymorph listed for this composition is 183 meV per atom. For the energy, the calculation gives -22.12 eV per cell. Its magnetic moment is 0.0 Bohr magnetons per cell. As for the formation energy (no corrections): -633 meV/atom. The calculation puts the density of states at the Fermi level at 2.3 states/eV/cell.

a = 3.7631 Å, b = 5.0664 Å, c = 12.3712 Å
α = 90.00°, β = 90.00°, γ = 90.00°
Space group Imm2 (No. 44)
One atom of each set of equivalent atoms:
Ca  0.0000  0.0000  0.0000 x2
Ca  0.0000  0.5000  0.2248 x2
Ag  0.0000  0.0000  0.5002 x2
Br  0.0000  0.5000  0.7211 x2

=====

(6)
Entry from the Alexandria database: a geometry-optimized Li23ZnRh6 structure (PBE).

For the energy, the calculation gives -365.27 eV per cell. Its magnetic moment is 0.0 Bohr magnetons per cell. The value obtained for the formation energy from the elements is -0.064 eV/atom. The calculation puts the density of states at the Fermi level at 47.2 states/eV/cell.

a = 12.1534 Å, b = 12.1534 Å, c = 12.1534 Å
α = 90.00°, β = 90.00°, γ = 90.00°
Space group Fm-3m (No. 225)
One atom of each set of equivalent atoms:
Li  0.0000  0.0000  0.0000 x4
Li  0.0000  0.2500  0.2500 x24
Li  0.1202  0.1202  0.1202 x32
Li  0.1236  0.1236  0.3764 x32
Zn  0.0000  0.0000  0.5000 x4
Rh  0.0000  0.0000  0.2586 x24

=====

(7)
Entry from the Alexandria database: a geometry-optimized HfFe2Se2 structure (PBE).

The energy relative to the lowest polymorph listed for this composition is 26 meV per atom. For the energy, the calculation gives -68.49 eV per cell. Its magnetic moment is 0.0 Bohr magnetons per cell. As for the formation energy (no corrections): -79 meV/atom. The calculation puts the density of states at the Fermi level at 6.0 states/eV/cell.

a = 3.7070 Å, b = 3.7070 Å, c = 11.1957 Å
α = 90.00°, β = 90.00°, γ = 90.00°
Space group I4/mmm (No. 139)
One atom of each set of equivalent atoms:
Hf  0.0000  0.0000  0.0000 x2
Fe  0.0000  0.5000  0.2500 x4
Se  0.0000  0.0000  0.3709 x4

=====

(8)
Entry from the Alexandria database: a geometry-optimized In5Hg3Pb12 structure (PBE).

For the energy, the calculation gives -441.99 eV per cell. Its magnetic moment is 0.0 Bohr magnetons per cell. The value obtained for the formation energy from the elements is 0.192 eV/atom. The calculation puts the density of states at the Fermi level at 72.3 states/eV/cell.

a = 17.8955 Å, b = 17.8955 Å, c = 17.8955 Å
α = 90.00°, β = 90.00°, γ = 90.00°
Space group Ia-3d (No. 230)
One atom of each set of equivalent atoms:
In  0.0000  0.0000  0.0000 x16
In  0.0000  0.2500  0.3750 x24
Hg  0.0000  0.2500  0.1250 x24
Pb  0.0176  0.0843  0.6497 x96